16
Lattice="3.677 0.000 0.000 0.000 3.677 0.000 0.000 0.000 13.936" Properties=species:S:1:pos:R:3 comment="MgMnB2, PBEsol geometry, DFT meta-GGA SCAN" n_ef_per_ev_fu=1.24 e_tot_ev_per_atom=-9.162 space_group="No. 141" magmom_total_mub_per_fu=0.89 e_form_kj_per_mol_fu=139 mass_density_g_cm3=3.56 pbc="T T T"
Mg 0.000 0.919 5.226
Mg 0.000 2.757 8.710
Mg 1.838 0.919 1.742
Mg 1.838 2.757 12.194
Mn 0.000 0.919 12.194
Mn 0.000 2.757 1.742
Mn 1.838 0.919 8.710
Mn 1.838 2.757 5.226
B 0.000 0.000 0.000
B 0.000 1.838 0.000
B 0.919 0.919 10.452
B 0.919 2.757 3.484
B 1.838 0.000 6.968
B 1.838 1.838 6.968
B 2.757 0.919 10.452
B 2.757 2.757 3.484

---

5
Lattice="4.059 0.000 0.000 0.000 4.059 0.000 0.000 0.000 4.059" Properties=species:S:1:pos:R:3 comment="TcPbC3, PBEsol geometry, DFT meta-GGA SCAN" n_ef_per_ev_fu=3.22 e_tot_ev_per_atom=-26.447 space_group="No. 221" magmom_total_mub_per_fu=0.00 e_form_kj_per_mol_fu=859 mass_density_g_cm3=8.47 pbc="T T T"
Tc 0.000 0.000 0.000
Pb 2.029 2.029 2.029
C 0.000 0.000 2.029
C 0.000 2.029 0.000
C 2.029 0.000 0.000

---

16
Lattice="7.131 0.000 0.000 0.000 7.131 0.000 0.000 0.000 7.131" Properties=species:S:1:pos:R:3 comment="LiTe2Cl, PBEsol geometry, DFT meta-GGA SCAN" n_ef_per_ev_fu=2.78 e_tot_ev_per_atom=-21.249 space_group="No. 225" magmom_total_mub_per_fu=0.00 mass_density_g_cm3=5.45 pbc="T T T"
Li 0.000 0.000 0.000
Li 0.000 3.566 3.566
Li 3.566 0.000 3.566
Li 3.566 3.566 0.000
Te 1.783 1.783 1.783
Te 1.783 1.783 5.349
Te 1.783 5.349 1.783
Te 1.783 5.349 5.349
Te 5.349 1.783 1.783
Te 5.349 1.783 5.349
Te 5.349 5.349 1.783
Te 5.349 5.349 5.349
Cl 0.000 0.000 3.566
Cl 0.000 3.566 0.000
Cl 3.566 0.000 0.000
Cl 3.566 3.566 3.566

---

8
Lattice="9.688 0.000 0.000 0.000 3.257 0.000 -2.542 0.000 6.303" Properties=species:S:1:pos:R:3 comment="InIrPb2, PBEsol geometry, DFT meta-GGA SCAN" n_ef_per_ev_fu=1.51 e_tot_ev_per_atom=-63.954 space_group="No. 8" magmom_total_mub_per_fu=0.00 e_form_kj_per_mol_fu=22 mass_density_g_cm3=12.05 pbc="T T T"
In 0.000 0.000 0.000
In 4.844 1.629 0.000
Ir 2.686 0.000 0.022
Ir 7.530 1.629 0.022
Pb -0.343 1.629 4.087
Pb 2.196 1.629 2.231
Pb 4.500 0.000 4.087
Pb 7.040 0.000 2.231

---

5
Lattice="5.600 0.000 0.000 0.000 5.600 0.000 0.000 0.000 5.600" Properties=species:S:1:pos:R:3 comment="Y3AsPb, PBEsol geometry, DFT meta-GGA SCAN" n_ef_per_ev_fu=4.72 e_tot_ev_per_atom=-35.778 space_group="No. 221" magmom_total_mub_per_fu=1.15 e_form_kj_per_mol_fu=59 mass_density_g_cm3=5.19 pbc="T T T"
Y 0.000 0.000 2.800
Y 0.000 2.800 0.000
Y 2.800 0.000 0.000
As 2.800 2.800 2.800
Pb 0.000 0.000 0.000

---

5
Lattice="5.212 0.000 0.000 0.000 5.212 0.000 0.000 0.000 4.717" Properties=species:S:1:pos:R:3 comment="TcSbIrI2, PBEsol geometry, DFT meta-GGA SCAN" n_ef_per_ev_fu=4.85 e_tot_ev_per_atom=-42.179 space_group="No. 123" magmom_total_mub_per_fu=0.00 mass_density_g_cm3=8.63 pbc="T T T"
Tc 0.000 0.000 0.000
Sb 2.606 2.606 2.359
Ir 0.000 0.000 2.359
I 0.000 2.606 0.000
I 2.606 0.000 0.000

---

32
Lattice="6.831 0.000 0.000 0.211 7.756 0.000 3.195 2.119 7.320" Properties=species:S:1:pos:R:3 comment="CsP2H5O8, PBEsol geometry, DFT meta-GGA SCAN" n_ef_per_ev_fu=0.00 e_tot_ev_per_atom=-9.682 space_group="No. 2" magmom_total_mub_per_fu=0.05 mass_density_g_cm3=2.81 pbc="T T T"
Cs 1.438 2.783 1.111
Cs 8.799 7.092 6.209
P 3.663 3.290 4.906
P 3.689 7.159 2.142
P 6.548 2.716 5.178
P 6.574 6.585 2.414
H 1.810 6.410 1.138
H 3.428 1.389 3.712
H 3.485 5.323 3.481
H 5.529 7.693 5.992
H 5.542 6.378 5.199
H 4.695 3.497 2.121
H 4.708 2.182 1.328
H 6.752 4.551 3.839
H 6.809 8.486 3.608
H 8.426 3.465 6.181
O 2.792 3.962 5.946
O 3.256 1.808 4.693
O 3.243 6.390 3.409
O 3.789 4.017 3.575
O 2.820 6.816 0.922
O 5.239 6.756 6.064
O 3.585 0.882 2.435
O 5.116 3.288 5.630
O 5.121 6.587 1.690
O 6.652 8.992 4.885
O 4.998 3.119 1.256
O 7.417 3.058 6.398
O 6.448 5.858 3.745
O 6.994 3.485 3.911
O 6.981 8.066 2.626
O 7.445 5.913 1.373

---

16
Lattice="7.616 0.000 0.000 0.000 7.616 0.000 0.000 0.000 7.616" Properties=species:S:1:pos:R:3 comment="Sr2AsBr, PBEsol geometry, DFT meta-GGA SCAN" n_ef_per_ev_fu=0.00 e_tot_ev_per_atom=-22.647 space_group="No. 225" magmom_total_mub_per_fu=0.00 mass_density_g_cm3=4.96 pbc="T T T"
Sr 1.904 1.904 1.904
Sr 1.904 1.904 5.712
Sr 1.904 5.712 1.904
Sr 1.904 5.712 5.712
Sr 5.712 1.904 1.904
Sr 5.712 1.904 5.712
Sr 5.712 5.712 1.904
Sr 5.712 5.712 5.712
As 0.000 0.000 0.000
As 0.000 3.808 3.808
As 3.808 0.000 3.808
As 3.808 3.808 0.000
Br 0.000 0.000 3.808
Br 0.000 3.808 0.000
Br 3.808 0.000 0.000
Br 3.808 3.808 3.808

---

10
Lattice="3.838 0.000 0.000 0.000 3.838 0.000 0.000 0.000 19.436" Properties=species:S:1:pos:R:3 comment="La2YIr2, PBEsol geometry, DFT meta-GGA SCAN" n_ef_per_ev_fu=4.55 e_tot_ev_per_atom=-51.346 space_group="No. 139" magmom_total_mub_per_fu=2.28 e_form_kj_per_mol_fu=-46 mass_density_g_cm3=8.71 pbc="T T T"
La 0.000 0.000 2.762
La 0.000 0.000 16.673
La 1.919 1.919 6.955
La 1.919 1.919 12.480
Y 0.000 0.000 9.718
Y 1.919 1.919 0.000
Ir 0.000 1.919 4.859
Ir 0.000 1.919 14.577
Ir 1.919 0.000 4.859
Ir 1.919 0.000 14.577

---

16
Lattice="7.814 0.000 0.000 0.000 7.814 0.000 0.000 0.000 7.814" Properties=species:S:1:pos:R:3 comment="Ac2HgGe, PBEsol geometry, DFT meta-GGA SCAN" n_ef_per_ev_fu=4.08 e_tot_ev_per_atom=-67.673 space_group="No. 225" magmom_total_mub_per_fu=0.05 e_form_kj_per_mol_fu=-240 mass_density_g_cm3=10.12 pbc="T T T"
Ac 1.954 1.954 1.954
Ac 1.954 1.954 5.861
Ac 1.954 5.861 1.954
Ac 1.954 5.861 5.861
Ac 5.861 1.954 1.954
Ac 5.861 1.954 5.861
Ac 5.861 5.861 1.954
Ac 5.861 5.861 5.861
Hg 0.000 0.000 0.000
Hg 0.000 3.907 3.907
Hg 3.907 0.000 3.907
Hg 3.907 3.907 0.000
Ge 0.000 0.000 3.907
Ge 0.000 3.907 0.000
Ge 3.907 0.000 0.000
Ge 3.907 3.907 3.907

---

5
Lattice="4.855 0.000 0.000 0.000 4.855 0.000 0.000 0.000 5.320" Properties=species:S:1:pos:R:3 comment="ScTlGa2Os, PBEsol geometry, DFT meta-GGA SCAN" n_ef_per_ev_fu=2.96 e_tot_ev_per_atom=-36.710 space_group="No. 123" magmom_total_mub_per_fu=2.15 e_form_kj_per_mol_fu=735 mass_density_g_cm3=7.67 pbc="T T T"
Sc 0.000 0.000 0.000
Tl 0.000 0.000 2.660
Ga 0.000 2.427 2.660
Ga 2.427 0.000 2.660
Os 2.427 2.427 0.000

---

74
Lattice="11.178 0.000 0.000 0.000 11.532 6.639 0.000 -11.532 6.639" Properties=species:S:1:pos:R:3 comment="Tl4Hg3Sb2As8S20, PBEsol geometry, DFT meta-GGA SCAN" n_ef_per_ev_fu=0.00 e_tot_ev_per_atom=-25.172 space_group="No. 41" magmom_total_mub_per_fu=0.00 mass_density_g_cm3=5.63 pbc="T T T"
Tl 0.654 -6.256 6.639
Tl 2.224 2.636 6.578
Tl 3.365 -8.896 6.578
Tl 4.936 5.275 6.639
Tl 6.243 -5.275 6.639
Tl 7.813 8.896 6.578
Tl 8.955 -2.636 6.578
Tl 10.525 6.256 6.639
Hg 0.000 0.000 3.345
Hg 0.797 -1.318 9.949
Hg 4.792 -1.318 3.310
Hg 5.589 0.000 9.985
Hg 6.386 1.318 3.310
Hg 10.382 1.318 9.949
Sb 2.379 -3.577 3.453
Sb 3.210 -3.577 10.092
Sb 7.968 3.577 10.092
Sb 8.799 3.577 3.453
As 1.054 4.576 9.961
As 1.118 -1.133 6.537
As 1.169 10.280 6.781
As 1.229 4.765 3.311
As 4.360 4.765 9.950
As 4.420 -1.252 6.781
As 4.471 10.398 6.537
As 4.535 4.576 3.322
As 6.643 -4.576 3.322
As 6.707 -10.398 6.537
As 6.758 1.252 6.781
As 6.819 -4.765 9.950
As 9.949 -4.765 3.311
As 10.009 -10.280 6.781
As 10.060 1.133 6.537
As 10.124 -4.576 9.961
S 0.201 -2.148 1.970
S 0.234 -3.817 4.812
S 0.311 2.119 11.926
S 0.319 -3.645 8.474
S 1.951 6.104 8.464
S 1.987 0.005 8.320
S 2.041 0.119 4.927
S 2.110 6.119 4.919
S 2.718 -2.804 6.550
S 2.779 3.076 3.296
S 2.810 3.076 9.935
S 2.871 8.727 6.550
S 3.479 -5.412 4.919
S 3.548 0.119 11.566
S 3.603 0.005 1.681
S 3.639 -5.428 8.464
S 5.270 7.886 8.474
S 5.278 2.119 5.287
S 5.355 7.714 4.812
S 5.388 -2.148 8.609
S 5.790 2.148 8.609
S 5.823 -7.714 4.812
S 5.901 -2.119 5.287
S 5.908 -7.886 8.474
S 7.540 5.428 8.464
S 7.576 -0.005 1.681
S 7.630 -0.119 11.566
S 7.699 5.412 4.919
S 8.307 -8.727 6.550
S 8.368 -3.076 9.935
S 8.399 -3.076 3.296
S 8.460 2.804 6.550
S 9.068 -6.119 4.919
S 9.138 -0.119 4.927
S 9.192 -0.005 8.320
S 9.228 -6.104 8.464
S 10.859 3.645 8.474
S 10.867 -2.119 11.926
S 10.944 3.817 4.812
S 10.977 2.148 1.970